! La2MnCu SCAN single point on PBEsol structure; values from VASP
&SYSTEM
  ibrav = 0, nat = 4, ntyp = 3
/
ATOMIC_SPECIES
Cu 63.55 Cu.upf
La 138.91 La.upf
Mn 54.94 Mn.upf
ATOMIC_POSITIONS crystal
Cu 0.793 0.793 0.586
La 0.027 0.527 0.055
La 0.226 0.226 0.453
Mn 0.453 0.953 0.906
CELL_PARAMETERS angstrom
3.482 0.000 0.000
0.000 4.787 0.000
-1.741 -2.394 5.369
! - space-group type = Imm2
! - DOS at the Fermi energy (states/eV per cell) = 3.8
! - DFT total energy (eV/cell) = -119.87